1.
# PRu2Br, optimized geometry, DFT PBE
data_PRu2Br
_cell_length_a 4.4588
_cell_length_b 4.4588
_cell_length_c 4.4588
_cell_angle_alpha 60.00
_cell_angle_beta 60.00
_cell_angle_gamma 60.00
_space_group_name_H-M_alt 'P 1'
_space_group_IT_number 1
loop_
_space_group_symop_operation_xyz
'x,y,z'
loop_
_atom_site_label
_atom_site_type_symbol
_atom_site_fract_x
_atom_site_fract_y
_atom_site_fract_z
_atom_site_occupancy
Br1 Br 0.5000 0.5000 0.5000 1
P1 P 0.7500 0.7500 0.7500 1
Ru1 Ru 0.0000 0.0000 0.0000 1
Ru2 Ru 0.2500 0.2500 0.2500 1
# space group	F-43m
# formation energy (no corrections)	1024	meV per atom

***

2.
# SmMn2Fe, optimized geometry, DFT PBE
data_SmMn2Fe
_cell_length_a 3.9279
_cell_length_b 3.9279
_cell_length_c 5.5872
_cell_angle_alpha 69.42
_cell_angle_beta 69.42
_cell_angle_gamma 60.00
_space_group_name_H-M_alt 'P 1'
_space_group_IT_number 1
loop_
_space_group_symop_operation_xyz
'x,y,z'
loop_
_atom_site_label
_atom_site_type_symbol
_atom_site_fract_x
_atom_site_fract_y
_atom_site_fract_z
_atom_site_occupancy
Mn1 Mn 0.6913 0.6913 0.9261 1
Mn2 Mn 0.3087 0.3087 0.0739 1
Fe1 Fe 0.0000 0.0000 0.0000 1
Sm1 Sm 0.5000 0.5000 0.5000 1
# space group	R-3m
# energy of formation from the pure elements	227	meV/atom

***

3.
# Tb2CeP3, optimized geometry, DFT PBE
data_Tb2CeP3
_cell_length_a 4.0482
_cell_length_b 5.7199
_cell_length_c 7.0027
_cell_angle_alpha 114.11
_cell_angle_beta 106.81
_cell_angle_gamma 90.00
_space_group_name_H-M_alt 'P 1'
_space_group_IT_number 1
loop_
_space_group_symop_operation_xyz
'x,y,z'
loop_
_atom_site_label
_atom_site_type_symbol
_atom_site_fract_x
_atom_site_fract_y
_atom_site_fract_z
_atom_site_occupancy
Tb1 Tb 0.1668 0.6667 0.3334 1
Tb2 Tb 0.8332 0.3333 0.6666 1
Ce1 Ce 0.5000 0.0000 0.0000 1
P1 P 0.5000 0.5000 0.0000 1
P2 P 0.1664 0.1666 0.3332 1
P3 P 0.8336 0.8334 0.6668 1
# space group	Immm
# energy of formation from the pure elements	-1580	meV/atom

***

4.
# La5Ir2Pd2, optimized geometry, DFT PBE
data_La5Ir2Pd2
_cell_length_a 7.8938
_cell_length_b 7.9785
_cell_length_c 8.5412
_cell_angle_alpha 117.84
_cell_angle_beta 90.00
_cell_angle_gamma 90.00
_space_group_name_H-M_alt 'P 1'
_space_group_IT_number 1
loop_
_space_group_symop_operation_xyz
'x,y,z'
loop_
_atom_site_label
_atom_site_type_symbol
_atom_site_fract_x
_atom_site_fract_y
_atom_site_fract_z
_atom_site_occupancy
La1 La 0.0000 0.0000 0.0000 1
La2 La 0.5000 0.5000 0.0000 1
La3 La 0.8348 0.8032 0.2629 1
La4 La 0.1652 0.4597 0.2629 1
La5 La 0.3348 0.9597 0.2629 1
La6 La 0.6652 0.3032 0.2629 1
La7 La 0.1652 0.1968 0.7371 1
La8 La 0.8348 0.5403 0.7371 1
La9 La 0.6652 0.0403 0.7371 1
La10 La 0.3348 0.6968 0.7371 1
Ir1 Ir 0.6324 0.8668 0.0000 1
Ir2 Ir 0.3676 0.1332 0.0000 1
Ir3 Ir 0.1324 0.6332 0.0000 1
Ir4 Ir 0.8676 0.3668 0.0000 1
Pd1 Pd 0.0000 0.2066 0.4133 1
Pd2 Pd 0.5000 0.7066 0.4133 1
Pd3 Pd 0.0000 0.7934 0.5867 1
Pd4 Pd 0.5000 0.2934 0.5867 1
# space group	Cmce
# energy of formation from the pure elements	-731	meV/atom

***

5.
# PmErGa4, optimized geometry, DFT PBE
data_PmErGa4
_cell_length_a 5.5455
_cell_length_b 5.5455
_cell_length_c 5.5455
_cell_angle_alpha 60.00
_cell_angle_beta 60.00
_cell_angle_gamma 60.00
_space_group_name_H-M_alt 'P 1'
_space_group_IT_number 1
loop_
_space_group_symop_operation_xyz
'x,y,z'
loop_
_atom_site_label
_atom_site_type_symbol
_atom_site_fract_x
_atom_site_fract_y
_atom_site_fract_z
_atom_site_occupancy
Pm1 Pm 0.0000 0.0000 0.0000 1
Ga1 Ga 0.6249 0.6249 0.1252 1
Ga2 Ga 0.6249 0.1252 0.6249 1
Ga3 Ga 0.6249 0.6249 0.6249 1
Ga4 Ga 0.1253 0.6249 0.6249 1
Er1 Er 0.2500 0.2500 0.2500 1
# space group	F-43m
# energy of formation from the pure elements	-546	meV/atom

***

6.
# TaCoP2, optimized geometry, DFT PBE
data_TaCoP2
_cell_length_a 3.2051
_cell_length_b 3.2051
_cell_length_c 5.2399
_cell_angle_alpha 90.00
_cell_angle_beta 90.00
_cell_angle_gamma 90.00
_space_group_name_H-M_alt 'P 1'
_space_group_IT_number 1
loop_
_space_group_symop_operation_xyz
'x,y,z'
loop_
_atom_site_label
_atom_site_type_symbol
_atom_site_fract_x
_atom_site_fract_y
_atom_site_fract_z
_atom_site_occupancy
Co1 Co 0.5000 0.5000 0.8226 1
P1 P 0.0000 0.0000 0.9531 1
P2 P 0.5000 0.5000 0.2593 1
Ta1 Ta 0.0000 0.0000 0.4651 1
# space group	P4mm
# energy of formation from the pure elements	-447	meV/atom

***

7.
# Y2SbPt2, optimized geometry, DFT PBE
data_Y2SbPt2
_cell_length_a 7.8721
_cell_length_b 7.8721
_cell_length_c 3.6281
_cell_angle_alpha 90.00
_cell_angle_beta 90.00
_cell_angle_gamma 90.00
_space_group_name_H-M_alt 'P 1'
_space_group_IT_number 1
loop_
_space_group_symop_operation_xyz
'x,y,z'
loop_
_atom_site_label
_atom_site_type_symbol
_atom_site_fract_x
_atom_site_fract_y
_atom_site_fract_z
_atom_site_occupancy
Y1 Y 0.1698 0.6698 0.5000 1
Y2 Y 0.6698 0.8302 0.5000 1
Y3 Y 0.8302 0.3302 0.5000 1
Y4 Y 0.3302 0.1698 0.5000 1
Sb1 Sb 0.0000 0.0000 0.0000 1
Sb2 Sb 0.5000 0.5000 0.0000 1
Pt1 Pt 0.3736 0.8736 0.0000 1
Pt2 Pt 0.8736 0.6264 0.0000 1
Pt3 Pt 0.6264 0.1264 0.0000 1
Pt4 Pt 0.1264 0.3736 0.0000 1
# space group	P4/mbm
# formation energy (no corrections)	-1132	meV per atom

***

8.
# CrBTeAuI, optimized geometry, DFT PBE
data_CrBTeAuI
_cell_length_a 3.4828
_cell_length_b 5.3837
_cell_length_c 7.7049
_cell_angle_alpha 105.04
_cell_angle_beta 96.33
_cell_angle_gamma 108.57
_space_group_name_H-M_alt 'P 1'
_space_group_IT_number 1
loop_
_space_group_symop_operation_xyz
'x,y,z'
loop_
_atom_site_label
_atom_site_type_symbol
_atom_site_fract_x
_atom_site_fract_y
_atom_site_fract_z
_atom_site_occupancy
I1 I 0.2427 0.8235 0.1120 1
Cr1 Cr 0.9203 0.0442 0.3967 1
B1 B 0.5713 0.3206 0.4514 1
Te1 Te 0.5302 0.1247 0.6833 1
Au1 Au 0.2063 0.5895 0.4614 1
# space group	P1
# formation energy (no corrections)	210	meV per atom

***

no.,uncorrected energy (eV/atom)
1,-5.385
2,-7.653
3,-6.817
4,-6.591
5,-4.116
6,-7.891
7,-6.958
8,-4.644